## BaIr2Cl (PBE)

Data for a relaxed structure of BaIr2Cl.

Lattice parameters (Å, degrees): 3.052 5.627 5.776 90.00 90.00 90.00
Site moments in Bohr magnetons follow the coordinates.
Fractional positions:
Ir  0.000  0.000  0.046  0.79
Ir  0.000  0.000  0.454  0.79
Ba  0.500  0.500  0.250  -0.03
Cl  0.500  0.500  0.750  0.03

Calculated values
Final energy: -4.80 eV/atom
Total magnetic moment: 1.675 μB/f.u.
Raw formation energy: 2.28 eV/f.u.
Relative energy among the computed polymorphs: 895 meV per atom